The following is a DFT calculation (PBE+U) of an optimized crystal structure of KCrGaF6.

```
KCrGaF6
1.0
5.488 0.000 0.000
-2.744 4.753 0.000
0.000 0.000 11.219
K Cr Ga F
2 2 2 12
Cartesian
0.000 0.000 0.000
0.000 0.000 5.609
0.000 3.168 2.805
2.744 1.584 8.414
0.000 3.168 8.414
2.744 1.584 2.805
-0.916 1.853 7.332
-1.597 3.033 9.496
0.916 1.853 9.496
-0.681 4.619 7.332
2.063 0.133 1.723
1.147 1.720 3.887
1.597 3.033 7.332
0.681 4.619 9.496
3.425 0.133 3.887
1.828 2.900 1.723
4.341 1.720 1.723
3.660 2.900 3.887
```

Summary:
Volume = 16.3 Å³/atom
DFT total energy = -92.92 eV per cell